(1)
Li3CoSiBO7: single point on PBEsol structure, SCAN.

a = 4.9431 Å, b = 6.0557 Å, c = 8.2560 Å
α = 90.00°, β = 95.74°, γ = 90.00°
Last column: nearest neighbours and their distance in Å.
Sites, in units of the cell vectors:
Li: 0.2392 0.2500 0.1040  4 O 1.98-2.06
Li: 0.2487 0.0042 0.7525  4 O 1.95-2.17
Li: 0.2487 0.4958 0.7525  4 O 1.95-2.17
Li: 0.7513 0.5042 0.2475  4 O 1.95-2.17
Li: 0.7513 0.9958 0.2475  4 O 1.95-2.17
Li: 0.7608 0.7500 0.8960  4 O 1.98-2.06
Co: 0.2015 0.7500 0.3144  6 O 1.83-1.94
Co: 0.7985 0.2500 0.6856  6 O 1.83-1.94
Si: 0.2765 0.2500 0.4308  4 O 1.61-1.65
Si: 0.7235 0.7500 0.5692  4 O 1.61-1.65
B: 0.2901 0.7500 0.0413  3 O 1.34-1.40
B: 0.7099 0.2500 0.9587  3 O 1.34-1.40
O: 0.0296 0.7500 0.0925  1 B 1.40
O: 0.1282 0.2500 0.5959  1 Si 1.61
O: 0.1853 0.0512 0.3002  1 Si 1.65, 1 Co 1.83
O: 0.1853 0.4488 0.3002  1 Si 1.65, 1 Co 1.83
O: 0.3588 0.7500 0.8884  1 B 1.34
O: 0.3927 0.7500 0.5211  1 Si 1.64
O: 0.4806 0.7500 0.1783  1 B 1.40
O: 0.5194 0.2500 0.8217  1 B 1.40
O: 0.6073 0.2500 0.4789  1 Si 1.64
O: 0.6412 0.2500 0.1116  1 B 1.34
O: 0.8147 0.5512 0.6998  1 Si 1.65, 1 Co 1.83
O: 0.8147 0.9488 0.6998  1 Si 1.65, 1 Co 1.83
O: 0.8718 0.7500 0.4041  1 Si 1.61
O: 0.9704 0.2500 0.9075  1 B 1.40

Output
Energy relative to the elements, uncorrected, kJ/mol of formula units: -2837.1
Space group: P2_1/m
Size of the total moment, μB per formula unit: 1.011


(2)
Zn3In: single point on PBEsol structure, SCAN.

a = 5.1332 Å, b = 12.6245 Å, c = 4.2753 Å
α = 90.00°, β = 90.00°, γ = 90.00°
Last column: nearest neighbours and their distance in Å.
Sites, in units of the cell vectors:
Zn: 0.0000 0.1206 0.2500  6 Zn 2.60-2.73, 2 In 2.79
Zn: 0.0000 0.8794 0.7500  6 Zn 2.60-2.73, 2 In 2.79
Zn: 0.2415 0.4315 0.2500  7 Zn 2.48-2.75
Zn: 0.2415 0.5685 0.7500  7 Zn 2.48-2.75
Zn: 0.2585 0.0685 0.7500  7 Zn 2.48-2.75
Zn: 0.2585 0.9315 0.2500  7 Zn 2.48-2.75
Zn: 0.5000 0.3794 0.7500  6 Zn 2.60-2.73, 2 In 2.79
Zn: 0.5000 0.6206 0.2500  6 Zn 2.60-2.73, 2 In 2.79
Zn: 0.7415 0.0685 0.7500  7 Zn 2.48-2.75
Zn: 0.7415 0.9315 0.2500  7 Zn 2.48-2.75
Zn: 0.7585 0.4315 0.2500  7 Zn 2.48-2.75
Zn: 0.7585 0.5685 0.7500  7 Zn 2.48-2.75
In: 0.0000 0.2928 0.7500  8 Zn 2.79-3.05
In: 0.0000 0.7072 0.2500  8 Zn 2.79-3.05
In: 0.5000 0.2072 0.2500  8 Zn 2.79-3.05
In: 0.5000 0.7928 0.7500  8 Zn 2.79-3.05

Output
Formation energy, kcal/mol of atoms: 1.95
Space group: Cmcm
Size of the total moment, μB per formula unit: 0.000


(3)
ZrTe: single point on PBEsol structure, SCAN.

a = 3.6846 Å, b = 3.6846 Å, c = 7.8732 Å
α = 90.00°, β = 90.00°, γ = 120.00°
Last column: nearest neighbours and their distance in Å.
Sites, in units of the cell vectors:
Zr: 0.0000 0.0000 0.0000  6 Te 2.90
Zr: 0.0000 0.0000 0.5000  6 Te 2.90
Te: 0.3333 0.6667 0.2500  6 Zr 2.90
Te: 0.6667 0.3333 0.7500  6 Zr 2.90

Output
Energy relative to the elements, uncorrected, kJ/mol of formula units: -178.6
Space group: P6_3/mmc
Size of the total moment, μB per formula unit: 0.000


(4)
Mg2ZrPt: single point on PBEsol structure, SCAN.

a = 3.3979 Å, b = 3.3979 Å, c = 6.6950 Å
α = 90.00°, β = 90.00°, γ = 90.00°
Last column: nearest neighbours and their distance in Å.
Sites, in units of the cell vectors:
Mg: 0.0000 0.0000 0.0000  4 Mg 2.99, 4 Zr 3.08, 1 Pt 3.28
Mg: 0.5000 0.5000 0.2648  4 Pt 2.91, 4 Mg 2.99, 1 Zr 2.99
Zr: 0.5000 0.5000 0.7117  4 Pt 2.76, 5 Mg 2.99-3.08
Pt: 0.0000 0.0000 0.5101  4 Zr 2.76, 4 Mg 2.91

Output
Formation energy, kcal/mol of atoms: -14.22
Space group: P4mm
Size of the total moment, μB per formula unit: 0.001


(5)
KMgCr: single point on PBEsol structure, SCAN.

a = 7.4804 Å, b = 7.4804 Å, c = 7.4804 Å
α = 90.00°, β = 90.00°, γ = 90.00°
Last column: nearest neighbours and their distance in Å.
Sites, in units of the cell vectors:
K: 0.0000 0.0000 0.0000  4 Cr 3.24
K: 0.0000 0.5000 0.5000  4 Cr 3.24
K: 0.5000 0.0000 0.5000  4 Cr 3.24
K: 0.5000 0.5000 0.0000  4 Cr 3.24
Mg: 0.0000 0.0000 0.5000  4 Cr 3.24
Mg: 0.0000 0.5000 0.0000  4 Cr 3.24
Mg: 0.5000 0.0000 0.0000  4 Cr 3.24
Mg: 0.5000 0.5000 0.5000  4 Cr 3.24
Cr: 0.2500 0.2500 0.2500  4 K 3.24, 4 Mg 3.24
Cr: 0.2500 0.7500 0.7500  4 K 3.24, 4 Mg 3.24
Cr: 0.7500 0.2500 0.7500  4 K 3.24, 4 Mg 3.24
Cr: 0.7500 0.7500 0.2500  4 K 3.24, 4 Mg 3.24

Output
Formation energy, kcal/mol of atoms: 17.30
Polymorph energy (0 for the lowest one), eV/f.u.: 0.76
Space group: F-43m
Size of the total moment, μB per formula unit: 5.239


(6)
Ce3Ni2Sn7: single point on PBEsol structure, SCAN.

a = 13.6163 Å, b = 13.6163 Å, c = 4.5159 Å
α = 90.00°, β = 90.00°, γ = 160.81°
Last column: nearest neighbours and their distance in Å.
Sites, in units of the cell vectors:
Ce: 0.0000 0.0000 0.0000  12 Sn 3.20-3.29, 2 Ni 3.42
Ce: 0.3155 0.6845 0.5000  10 Sn 3.33-3.45, 4 Ni 3.55
Ce: 0.6845 0.3155 0.5000  10 Sn 3.33-3.45, 4 Ni 3.55
Ni: 0.1273 0.8727 0.0000  5 Sn 2.45-2.50
Ni: 0.8727 0.1273 0.0000  5 Sn 2.45-2.50
Sn: 0.0883 0.9117 0.5000  2 Ni 2.49
Sn: 0.2185 0.7815 0.0000  1 Ni 2.45
Sn: 0.4115 0.5885 0.0000  2 Ni 2.50
Sn: 0.5000 0.5000 0.5000  4 Ce 3.20, 8 Sn 3.28
Sn: 0.5885 0.4115 0.0000  2 Ni 2.50
Sn: 0.7815 0.2185 0.0000  1 Ni 2.45
Sn: 0.9117 0.0883 0.5000  2 Ni 2.49

Output
Formation energy, kcal/mol of atoms: -14.35
Space group: Cmmm
Size of the total moment, μB per formula unit: 2.686


(7)
Co5Rh: single point on PBEsol structure, SCAN.

a = 4.0228 Å, b = 2.5279 Å, c = 12.9592 Å
α = 90.00°, β = 90.00°, γ = 90.00°
Last column: nearest neighbours and their distance in Å.
Sites, in units of the cell vectors:
Co: 0.0000 0.0000 0.0000  10 Co 2.46-2.60, 2 Rh 2.52
Co: 0.0000 0.0000 0.3251  8 Co 2.46-2.60, 4 Rh 2.49
Co: 0.0000 0.0000 0.6625  12 Co 2.45-2.53
Co: 0.0000 0.5000 0.1625  12 Co 2.45-2.53
Co: 0.0000 0.5000 0.5000  10 Co 2.46-2.60, 2 Rh 2.52
Co: 0.0000 0.5000 0.8251  8 Co 2.46-2.60, 4 Rh 2.49
Co: 0.5000 0.0000 0.2128  10 Co 2.41-2.53, 2 Rh 2.55
Co: 0.5000 0.0000 0.5544  10 Co 2.41-2.53, 2 Rh 2.55
Co: 0.5000 0.5000 0.0544  10 Co 2.41-2.53, 2 Rh 2.55
Co: 0.5000 0.5000 0.7128  10 Co 2.41-2.53, 2 Rh 2.55
Rh: 0.5000 0.0000 0.8834  10 Co 2.49-2.55, 2 Rh 2.53
Rh: 0.5000 0.5000 0.3834  10 Co 2.49-2.55, 2 Rh 2.53

Output
Formation energy, kcal/mol of atoms: 1.32
Space group: Amm2
Size of the total moment, μB per formula unit: 9.700


(8)
K2TcRu: single point on PBEsol structure, SCAN.

a = 3.1857 Å, b = 3.1857 Å, c = 10.4905 Å
α = 90.00°, β = 90.00°, γ = 90.00°
Last column: nearest neighbours and their distance in Å.
Sites, in units of the cell vectors:
K: 0.0000 0.0000 0.0000  4 K 3.19, 4 Tc 3.44
K: 0.5000 0.5000 0.4119  4 K 3.19, 4 Ru 3.40
Tc: 0.5000 0.5000 0.7524  4 Ru 2.47
Ru: 0.0000 0.0000 0.6547  4 Tc 2.47

Output
Formation energy, kcal/mol of atoms: 16.66
Polymorph energy (0 for the lowest one), eV/f.u.: 0.00
Space group: P4mm
Size of the total moment, μB per formula unit: 0.070